VASP calculation (PBE) on a relaxed structure of Ca3Ir2C.

The structure in extended XYZ format:
```
12
Lattice="-2.7946 -3.5203 4.2072 4.8901 -3.6021 1.0076 2.5141 2.9681 5.9623" Properties=species:S:1:pos:R:3 pbc="T T T"
Ca 1.1398 0.3181 4.2197
Ca 2.0829 -1.3261 7.4332
Ca 0.9403 -1.1772 0.7982
Ca 3.6693 -2.9772 10.3790
Ca 3.4698 -4.4724 6.9575
Ca 2.5267 -2.8282 3.7439
C 4.5783 -1.3526 6.3942
C 0.0313 -2.8017 4.7829
Ir 0.5661 -3.6203 6.4108
Ir -0.7324 -1.9806 3.2503
Ir 5.3420 -2.1737 7.9268
Ir 4.0435 -0.5340 4.7663
```

Summary:
- calculated formation energy (eV per atom) = -0.325
- crystal system = monoclinic
- space-group type = C2/c



VASP calculation (PBE) on a relaxed structure of CaIrC.

The structure in extended XYZ format:
```
6
Lattice="3.8912 0.0000 0.0000 0.0000 3.8912 0.0000 0.0000 0.0000 6.5940" Properties=species:S:1:pos:R:3 pbc="T T T"
C 1.9456 0.0000 3.2970
C 0.0000 1.9456 0.0000
Ca 0.0000 0.0000 1.6485
Ca 0.0000 0.0000 4.9455
Ir 1.9456 1.9456 3.2970
Ir 1.9456 1.9456 0.0000
```

Summary:
- calculated formation energy (eV per atom) = -0.078
- E above lowest polymorph (eV/atom) = 0.0042
- crystal system = tetragonal
- space-group type = P4_2/mmc